A relaxed structure of SmGe3Os, computed with PBE.

abc: 6.2251 5.7569 5.7554
angles: 90.00 90.00 90.00
Closest atoms and distances in Å follow each position.
Fractional coordinates of all 10 atoms:
1 Sm 0.0000 0.1402 0.0000  7 Ge 2.92-3.23, 1 Os 3.13
2 Sm 0.5000 0.8598 0.5000  7 Ge 2.92-3.23, 1 Os 3.13
3 Ge 0.0000 0.9190 0.4570  1 Os 2.37
4 Ge 0.2329 0.3295 0.5351  2 Os 2.43-2.47
5 Ge 0.2671 0.6705 0.0351  2 Os 2.43-2.47
6 Ge 0.5000 0.0810 0.9570  1 Os 2.37
7 Ge 0.7329 0.6705 0.0351  2 Os 2.43-2.47
8 Ge 0.7671 0.3295 0.5351  2 Os 2.43-2.47
9 Os 0.0000 0.6143 0.7328  5 Ge 2.37-2.47
10 Os 0.5000 0.3857 0.2328  5 Ge 2.37-2.47

Output
Its total magnetic moment is 0.00 μB per formula unit. The value obtained for the calculated formation energy is -169 kJ/mol of formula units.